# SrY2CdRu

A relaxed SrY2CdRu crystal (GGA-PBE, Alexandria).

formation energy	-104	meV per atom
Fermi-level density of states	4.13	states/eV per cell
symmetry	P4/mmm, No. 123

abc: 5.2873 5.2873 5.5519
angles: 90.00 90.00 90.00
Element x y z (fractional)
Sr 0.0000 0.0000 0.0000
Y 0.0000 0.5000 0.5000
Y 0.5000 0.0000 0.5000
Cd 0.5000 0.5000 0.0000
Ru 0.5000 0.5000 0.5000

---

# LiSbS2

A relaxed LiSbS2 crystal (GGA-PBE, Alexandria).

formation energy (no corrections)	-663.1	meV/atom
symmetry	P-1, No. 2

abc: 3.8624 5.6048 7.8392
angles: 90.85 90.04 90.01
Element x y z (fractional)
Li 0.2491 0.2573 0.1359
Li 0.7509 0.7427 0.8641
Sb 0.2503 0.2593 0.6465
Sb 0.7497 0.7407 0.3535
S 0.2502 0.7615 0.1271
S 0.2507 0.7031 0.6446
S 0.7493 0.2969 0.3554
S 0.7498 0.2385 0.8729

---

# MgFeTc

A relaxed MgFeTc crystal (GGA-PBE, Alexandria).

formation energy	141	meV per atom
Fermi-level density of states	2.27	states/eV per cell
symmetry	I4mm, No. 107

abc: 5.6000 5.6000 5.6000
angles: 150.04 150.04 42.89
Element x y z (fractional)
Mg 0.0000 0.0000 0.0000
Fe 0.6777 0.6777 0.0000
Tc 0.3055 0.3055 0.0000

---

# KBa2NaAs

A relaxed KBa2NaAs crystal (GGA-PBE, Alexandria).

formation energy	-378	meV per atom
Fermi-level density of states	3.52	states/eV per cell
symmetry	P4/mmm, No. 123

abc: 6.5353 6.5353 6.0091
angles: 90.00 90.00 90.00
Element x y z (fractional)
K 0.0000 0.0000 0.0000
Ba 0.0000 0.5000 0.5000
Ba 0.5000 0.0000 0.5000
Na 0.5000 0.5000 0.0000
As 0.5000 0.5000 0.5000

---

# Te4Pd2Rh

A relaxed Te4Pd2Rh crystal (GGA-PBE, Alexandria).

Fermi-level density of states	4.07	states/eV per cell
formation energy (no corrections)	-354.9	meV/atom
symmetry	C2/m, No. 12

abc: 6.8181 6.8181 6.9711
angles: 118.64 118.64 35.40
Element x y z (fractional)
Te 0.1096 0.1096 0.4506
Te 0.3682 0.3682 0.0178
Te 0.6318 0.6318 0.9822
Te 0.8904 0.8904 0.5494
Pd 0.2659 0.2659 0.2863
Pd 0.7341 0.7341 0.7137
Rh 0.0000 0.0000 0.0000

---

# Pm2GeS

A relaxed Pm2GeS crystal (GGA-PBE, Alexandria).

Fermi-level density of states	2.56	states/eV per cell
formation energy (no corrections)	-1319.1	meV/atom
symmetry	R3m, No. 160

abc: 7.5781 7.5781 7.5781
angles: 31.42 31.42 31.42
Element x y z (fractional)
Pm 0.0000 0.0000 0.0000
Pm 0.1730 0.1730 0.1730
Ge 0.5864 0.5864 0.5864
S 0.7562 0.7562 0.7562